Entry from Alexandria via LeMat-Bulk: a geometry-optimized NdSmRu structure (GGA-PBE).

The formation energy comes out at -0.50 eV per formula unit. The offset from the most stable computed form is 13.0 meV per atom. The calculation puts the energy at -6.4223 eV per atom.

The space group is F-43m (No. 216) and the conventional cell measures 6.9274, 6.9274 and 6.9274 Å, with angles of 90.00, 90.00 and 90.00 degrees. The inequivalent atoms are Nd at (0.0000, 0.0000, 0.0000), Sm at (0.0000, 0.0000, 0.5000) and Ru at (0.2500, 0.2500, 0.2500).

Entry from Alexandria via LeMat-Bulk: a geometry-optimized SrFePt2 structure (GGA-PBE).

The formation energy comes out at -0.26 eV per formula unit. The calculation puts the energy at -5.6210 eV per atom.

The space group is Pmm2 (No. 25) and the conventional cell measures 2.9655, 3.9611 and 6.7229 Å, with angles of 90.00, 90.00 and 90.00 degrees. The inequivalent atoms are Sr at (0.0000, 0.0000, 0.0000), Fe at (0.5000, 0.5000, 0.3563), Pt at (0.0000, 0.0000, 0.4782) and Pt at (0.5000, 0.5000, 0.7280).

Entry from Alexandria via LeMat-Bulk: a geometry-optimized Mg2POs structure (GGA-PBE).

The formation energy comes out at 0.76 eV per formula unit. The calculation puts the energy at -4.7680 eV per atom.

The space group is Cmm2 (No. 35) and the conventional cell measures 3.1510, 5.0558 and 8.7200 Å, with angles of 90.00, 90.00 and 90.00 degrees. The inequivalent atoms are Mg at (0.0000, 0.0000, 0.0000), Mg at (0.0000, 0.5000, 0.3018), P at (0.0000, 0.5000, 0.7484) and Os at (0.0000, 0.0000, 0.5584).